## KAlF4 (PBE-GGA)

Data for a relaxed KAlF4 crystal.

Cell and atoms, written as POSCAR:
```
KAlF4
1.0
8.437 0.000 0.000
0.000 7.367 0.000
0.000 0.000 12.030
K Al F
8 8 32
Direct
0.068 0.250 0.104
0.130 0.250 0.748
0.370 0.750 0.248
0.432 0.750 0.604
0.568 0.250 0.396
0.630 0.250 0.752
0.870 0.750 0.252
0.932 0.750 0.896
0.130 0.003 0.417
0.130 0.497 0.417
0.370 0.503 0.917
0.370 0.997 0.917
0.630 0.003 0.083
0.630 0.497 0.083
0.870 0.503 0.583
0.870 0.997 0.583
0.096 0.506 0.572
0.096 0.994 0.572
0.115 0.750 0.417
0.120 0.501 0.270
0.120 0.999 0.270
0.134 0.250 0.423
0.162 0.014 0.930
0.162 0.486 0.930
0.338 0.514 0.430
0.338 0.986 0.430
0.366 0.750 0.923
0.380 0.001 0.770
0.380 0.499 0.770
0.385 0.250 0.917
0.404 0.006 0.072
0.404 0.494 0.072
0.596 0.506 0.928
0.596 0.994 0.928
0.615 0.750 0.083
0.620 0.501 0.230
0.620 0.999 0.230
0.634 0.250 0.077
0.662 0.014 0.570
0.662 0.486 0.570
0.838 0.514 0.070
0.838 0.986 0.070
0.866 0.750 0.577
0.880 0.001 0.730
0.880 0.499 0.730
0.885 0.250 0.583
0.904 0.006 0.428
0.904 0.494 0.428
```

Results
- energy (eV per atom) = -5.42
- formation energy from raw total energies (eV per atom) = -3.37
- space-group type = Pnma